Cs2CuSb | PBE | relaxed

Results
V in Å³ per cell: 363
ΔE_f (raw) in eV/atom: -0.245

```
8
Lattice="11.9744 0.0000 0.0000 0.0000 6.8553 0.0000 -1.9051 0.0000 4.4162" Properties=species:S:1:pos:R:3 pbc="T T T"
Cs 1.8852 0.0000 0.8378
Cs 2.1969 3.4277 3.5784
Cs 7.8723 3.4277 0.8378
Cs 8.1841 0.0000 3.5784
Cu -0.9526 4.1691 2.2081
Cu 5.0346 0.7414 2.2081
Sb 0.0000 3.4635 0.0000
Sb 5.9872 0.0358 0.0000
```

Cs2CuSb | PBE | relaxed

Results
V in Å³ per cell: 722
ΔE_f (raw) in eV/atom: 0.343

```
16
Lattice="8.9705 0.0000 0.0000 0.0000 8.9705 0.0000 0.0000 0.0000 8.9705" Properties=species:S:1:pos:R:3 pbc="T T T"
Cs 2.2426 2.2426 2.2426
Cs 2.2426 2.2426 6.7279
Cs 2.2426 6.7279 2.2426
Cs 2.2426 6.7279 6.7279
Cs 6.7279 2.2426 2.2426
Cs 6.7279 2.2426 6.7279
Cs 6.7279 6.7279 2.2426
Cs 6.7279 6.7279 6.7279
Cu 0.0000 0.0000 0.0000
Cu 0.0000 4.4852 4.4852
Cu 4.4852 0.0000 4.4852
Cu 4.4852 4.4852 0.0000
Sb 0.0000 0.0000 4.4852
Sb 0.0000 4.4852 0.0000
Sb 4.4852 0.0000 0.0000
Sb 4.4852 4.4852 4.4852
```

Cs2CuSb2 | PBE | relaxed

Results
V in Å³ per cell: 344
ΔE_f (raw) in eV/atom: -0.117

```
10
Lattice="7.2891 0.0000 0.0000 0.0000 7.2891 0.0000 0.0000 0.0000 6.4735" Properties=species:S:1:pos:R:3 pbc="T T T"
Cs 1.2510 2.3935 0.0000
Cs 2.3935 6.0380 0.0000
Cs 4.8956 1.2510 0.0000
Cs 6.0380 4.8956 0.0000
Cu 0.0000 0.0000 3.2367
Cu 3.6445 3.6445 3.2367
Sb 1.0688 4.7134 3.2367
Sb 2.5757 1.0688 3.2367
Sb 4.7134 6.2203 3.2367
Sb 6.2203 2.5757 3.2367
```

Cs2Cu3Sb5 | PBE | relaxed

Results
V in Å³ per cell: 552
ΔE_f (raw) in eV/atom: -0.070

```
20
Lattice="-5.6285 7.0087 3.4985 5.6285 -7.0087 3.4985 5.6285 7.0087 -3.4985" Properties=species:S:1:pos:R:3 pbc="T T T"
Cs 2.7509 1.8032 0.0000
Cs 2.7509 -1.8032 3.4985
Cs 2.8776 8.8119 0.0000
Cs 2.8776 5.2055 3.4985
Cu 6.9123 1.7079 0.0000
Cu 0.0000 0.0000 1.7493
Cu 1.2838 5.3008 0.0000
Cu 4.3447 1.7079 3.4985
Cu 0.0000 0.0000 5.2478
Cu -1.2838 5.3008 3.4985
Sb 5.6285 -3.4000 1.7493
Sb 9.7693 1.5369 0.0000
Sb 5.6285 0.0000 1.7493
Sb 4.1408 5.4718 0.0000
Sb 5.6285 3.4000 1.7493
Sb 0.0000 3.6087 1.7493
Sb 1.4877 1.5369 3.4985
Sb 0.0000 7.0087 1.7493
Sb -4.1408 5.4718 3.4985
Sb 0.0000 10.4087 1.7493
```

Cs2CuSb2 | PBE | relaxed

Results
V in Å³ per cell: 402
ΔE_f (raw) in eV/atom: -0.303

```
10
Lattice="6.6807 0.0000 0.0000 0.0000 13.9170 0.0000 0.0000 0.0000 4.3192" Properties=species:S:1:pos:R:3 pbc="T T T"
Cs 0.0000 2.1984 0.0000
Cs 0.0000 11.7186 0.0000
Cs 3.3403 4.7601 0.0000
Cs 3.3403 9.1569 0.0000
Cu 0.0000 6.9585 0.0000
Cu 3.3403 0.0000 0.0000
Sb 0.0000 5.4822 2.1596
Sb 0.0000 8.4348 2.1596
Sb 3.3403 1.4763 2.1596
Sb 3.3403 12.4407 2.1596
```

Cs3CuSb | PBE | relaxed

Results
V in Å³ per cell: 283
ΔE_f (raw) in eV/atom: 0.174

```
5
Lattice="6.5647 0.0000 0.0000 0.0000 6.5647 0.0000 0.0000 0.0000 6.5647" Properties=species:S:1:pos:R:3 pbc="T T T"
Cs 0.0000 0.0000 3.2824
Cs 0.0000 3.2824 0.0000
Cs 3.2824 0.0000 0.0000
Cu 0.0000 0.0000 0.0000
Sb 3.2824 3.2824 3.2824
```

CsCu9Sb4 | PBE | relaxed

Results
V in Å³ per cell: 507
ΔE_f (raw) in eV/atom: 0.038

```
28
Lattice="-4.3912 4.3912 6.5694 4.3912 -4.3912 6.5694 4.3912 4.3912 -6.5694" Properties=species:S:1:pos:R:3 pbc="T T T"
Cs 0.0000 0.0000 3.2847
Cs 0.0000 0.0000 9.8542
Cu 4.3912 0.0000 0.0000
Cu 6.9793 0.4248 0.0000
Cu 3.4580 -0.9333 2.2671
Cu 0.4248 1.8032 0.0000
Cu 5.3245 -0.9333 4.3023
Cu 5.3245 0.9333 2.2671
Cu 4.8160 2.5881 0.0000
Cu 3.4580 0.9333 4.3023
Cu 2.5881 3.9664 0.0000
Cu 0.0000 4.3912 0.0000
Cu 1.8032 0.4248 6.5694
Cu 0.9333 3.4580 2.2671
Cu -0.4248 1.8032 6.5694
Cu -0.9333 3.4580 4.3023
Cu -0.9333 5.3245 2.2671
Cu 3.9664 2.5881 6.5694
Cu 0.9333 5.3245 4.3023
Cu -2.5881 3.9664 6.5694
Sb 2.7779 1.6133 -1.6624
Sb 2.7779 -1.6133 4.9070
Sb 2.7779 1.6133 1.6624
Sb 2.7779 -1.6133 8.2319
Sb 1.6133 6.0045 -1.6624
Sb 1.6133 2.7779 4.9070
Sb 1.6133 6.0045 1.6624
Sb 1.6133 2.7779 8.2319
```

Cs2CuSbSe4 | PBE | relaxed

Results
V in Å³ per cell: 601
ΔE_f (raw) in eV/atom: -0.609

```
16
Lattice="0.0000 7.3196 12.9468 3.1698 0.0000 12.9468 3.1698 7.3196 0.0000" Properties=species:S:1:pos:R:3 pbc="T T T"
Cs 2.3774 5.4897 1.4151
Cs 3.9623 9.1494 7.8885
Cs 2.3774 5.4897 18.0050
Cs 3.9623 9.1494 24.4784
Cu 0.7925 1.8299 3.2367
Cu 5.5472 12.8092 22.6568
Sb 2.3774 5.4897 9.7101
Sb 3.9623 9.1494 16.1834
Se 2.3906 3.2584 4.5872
Se 3.9490 6.9182 11.0606
Se 2.3641 7.7210 4.5872
Se 2.3641 3.2584 14.8329
Se 3.9755 11.3807 11.0606
Se 3.9755 6.9182 21.3063
Se 2.3906 7.7210 14.8329
Se 3.9490 11.3807 21.3063
```

CsCuSbSe | PBE | relaxed

Results
V in Å³ per cell: 251
ΔE_f (raw) in eV/atom: -0.436

```
8
Lattice="4.2337 0.0000 0.0000 0.0000 4.2337 0.0000 0.0000 0.0000 13.9762" Properties=species:S:1:pos:R:3 pbc="T T T"
Cs 1.0584 1.0584 3.3460
Cs 3.1753 3.1753 10.6302
Cu 1.0584 3.1753 0.0000
Cu 3.1753 1.0584 0.0000
Sb 1.0584 3.1753 6.9881
Sb 3.1753 1.0584 6.9881
Se 1.0584 1.0584 12.6104
Se 3.1753 3.1753 1.3658
```

CsCuSb2Se4 | PBE | relaxed

Results
V in Å³ per cell: 464
ΔE_f (raw) in eV/atom: -0.444

```
16
Lattice="2.1186 -7.1939 0.0000 2.1186 7.1939 0.0000 0.0000 0.0000 15.2123" Properties=species:S:1:pos:R:3 pbc="T T T"
Cs 2.1186 5.7347 11.4093
Cs 2.1186 -5.7347 3.8031
Cu 2.1186 4.7636 3.8031
Cu 2.1186 -4.7636 11.4093
Sb 2.1186 1.9289 8.4466
Sb 2.1186 1.9289 14.3719
Sb 2.1186 -1.9289 0.8405
Sb 2.1186 -1.9289 6.7657
Se 0.0000 0.0000 0.0000
Se 0.0000 0.0000 7.6062
Se 2.1186 3.4802 1.5721
Se 2.1186 3.4802 6.0341
Se 2.1186 1.3966 11.4093
Se 2.1186 -1.3966 3.8031
Se 2.1186 -3.4802 9.1783
Se 2.1186 -3.4802 13.6403
```

CsCu2Sb2Se6 | PBE | relaxed

Results
V in Å³ per cell: 404
ΔE_f (raw) in eV/atom: -0.292

```
11
Lattice="7.0493 0.0000 0.0000 0.0358 7.0584 0.0000 1.1186 3.4993 8.1183" Properties=species:S:1:pos:R:3 pbc="T T T"
Cs 0.0000 0.0000 0.0000
Cu 3.6140 3.4932 2.4987
Cu 4.5896 7.0645 5.6196
Sb 1.0260 7.0394 4.6824
Sb 7.1776 3.5182 3.4360
Se 2.5625 7.0350 6.7151
Se 2.0628 1.7309 2.7618
Se 2.0835 5.2819 2.7655
Se 6.1201 5.2757 5.3528
Se 6.1408 8.8268 5.3566
Se 5.6411 3.5226 1.4033
```

CsCu2SbSe4 | PBE | relaxed

Results
V in Å³ per cell: 546
ΔE_f (raw) in eV/atom: -0.371

```
16
Lattice="6.5259 0.0000 0.0000 0.0000 8.8214 0.0000 0.0000 0.0000 9.4891" Properties=species:S:1:pos:R:3 pbc="T T T"
Cs 0.0000 0.0000 0.0000
Cs 3.2630 4.4107 4.7445
Cu 0.0000 4.4107 1.3313
Cu 0.0000 4.4107 8.1577
Cu 3.2630 0.0000 3.4132
Cu 3.2630 0.0000 6.0759
Sb 0.0000 0.0000 4.7445
Sb 3.2630 4.4107 0.0000
Se 1.4858 1.4338 3.2454
Se 1.4858 7.3875 6.2437
Se 1.7771 2.9769 7.9899
Se 1.7771 5.8445 1.4991
Se 4.7488 2.9769 1.4991
Se 4.7488 5.8445 7.9899
Se 5.0401 1.4338 6.2437
Se 5.0401 7.3875 3.2454
```

Question: Which of these has the highest V?
Answer: number 2

Question: Number 8 is which compound?
Answer: Cs2CuSbSe4